Entry P
Entry from Alexandria: a relaxed La2TmMg crystal (PBE).

Unit cell a=5.6687 b=5.6687 c=5.6687 alpha=60.00 beta=60.00 gamma=60.00
Sites, in units of the cell vectors:
La  0.2500  0.2500  0.2500
La  0.7500  0.7500  0.7500
Tm  0.0000  0.0000  0.0000
Mg  0.5000  0.5000  0.5000

Computed properties:
crystal system	cubic

=====

Entry Q
Entry from Alexandria: a relaxed La2TmMg crystal (PBE).

Unit cell a=3.5718 b=3.5718 c=11.9206 alpha=98.54 beta=98.54 gamma=60.07
Sites, in units of the cell vectors:
La  0.0000  0.0000  0.0000
La  0.1667  0.1667  0.4988
Tm  0.5828  0.5828  0.7486
Mg  0.7501  0.7501  0.2502

Computed properties:
crystal system	monoclinic

=====

Entry R
Entry from Alexandria: a relaxed La2TmMg crystal (PBE).

Unit cell a=12.8338 b=12.8338 c=12.8338 alpha=15.73 beta=15.73 gamma=15.73
Sites, in units of the cell vectors:
La  0.0899  0.0899  0.0899
La  0.9101  0.9101  0.9101
Tm  0.5000  0.5000  0.5000
Mg  0.0000  0.0000  0.0000

Computed properties:
crystal system	trigonal

=====

entry P wins, 0.057 eV/atom ahead of the next structure.

=====

Entry P
Entry from Alexandria: a relaxed LaTm2Mg crystal (PBE).

Unit cell a=12.2659 b=12.2659 c=12.2659 alpha=15.93 beta=15.93 gamma=15.93
Sites, in units of the cell vectors:
La  0.0000  0.0000  0.0000
Tm  0.0933  0.0933  0.0933
Tm  0.9067  0.9067  0.9067
Mg  0.5000  0.5000  0.5000

Computed properties:
crystal system	trigonal

=====

Entry Q
Entry from Alexandria: a relaxed LaTm2Mg crystal (PBE).

Unit cell a=3.6783 b=3.6783 c=8.9278 alpha=90.00 beta=90.00 gamma=90.00
Sites, in units of the cell vectors:
La  0.0000  0.0000  0.0000
Tm  0.5000  0.5000  0.2822
Tm  0.5000  0.5000  0.7178
Mg  0.0000  0.0000  0.5000

Computed properties:
crystal system	tetragonal

=====

entry Q wins, 0.175 eV/atom ahead of the next structure.

=====

Entry P
Entry from Alexandria: a relaxed LaTm2Mg crystal (PBE).

Unit cell a=11.4859 b=11.4859 c=11.4859 alpha=17.72 beta=17.72 gamma=17.72
Sites, in units of the cell vectors:
La  0.0000  0.0000  0.0000
Tm  0.5768  0.5768  0.5768
Tm  0.7560  0.7560  0.7560
Mg  0.1662  0.1662  0.1662

Computed properties:
crystal system	trigonal

=====

Entry Q
Entry from Alexandria: a relaxed LaTm2Mg crystal (PBE).

Unit cell a=6.6347 b=6.6347 c=6.6347 alpha=146.67 beta=129.87 gamma=61.53
Sites, in units of the cell vectors:
La  0.0000  0.0000  0.0000
Tm  0.2716  0.7716  0.5000
Tm  0.7284  0.2284  0.5000
Mg  0.5000  0.5000  0.0000

Computed properties:
crystal system	orthorhombic

=====

Entry R
Entry from Alexandria: a relaxed LaTm2Mg crystal (PBE).

Unit cell a=5.5453 b=5.5453 c=5.5453 alpha=60.00 beta=60.00 gamma=60.00
Sites, in units of the cell vectors:
La  0.0000  0.0000  0.0000
Tm  0.2500  0.2500  0.2500
Tm  0.7500  0.7500  0.7500
Mg  0.5000  0.5000  0.5000

Computed properties:
crystal system	cubic

=====

entry Q wins, 0.077 eV/atom ahead of the next structure.

=====

Entry P
Entry from Alexandria: a relaxed LaTmMg2 crystal (PBE).

Unit cell a=3.7960 b=3.7960 c=7.9680 alpha=90.00 beta=90.00 gamma=90.00
Sites, in units of the cell vectors:
La  0.0000  0.0000  0.0000
Tm  0.0000  0.0000  0.5000
Mg  0.5000  0.5000  0.2704
Mg  0.5000  0.5000  0.7296

Computed properties:
crystal system	tetragonal

=====

Entry Q
Entry from Alexandria: a relaxed LaTmMg2 crystal (PBE).

Unit cell a=11.5452 b=11.5452 c=11.5452 alpha=17.14 beta=17.14 gamma=17.14
Sites, in units of the cell vectors:
La  0.0000  0.0000  0.0000
Tm  0.8309  0.8309  0.8309
Mg  0.2451  0.2451  0.2451
Mg  0.4188  0.4188  0.4188

Computed properties:
crystal system	trigonal

=====

Entry R
Entry from Alexandria: a relaxed LaTmMg2 crystal (PBE).

Unit cell a=5.4540 b=5.4540 c=5.4540 alpha=60.00 beta=60.00 gamma=60.00
Sites, in units of the cell vectors:
La  0.0000  0.0000  0.0000
Tm  0.5000  0.5000  0.5000
Mg  0.2500  0.2500  0.2500
Mg  0.7500  0.7500  0.7500

Computed properties:
crystal system	cubic

=====

entry R wins, 0.016 eV/atom ahead of the next structure.